Entry 1:
## TcNi2Ag (PBE)

Data for a relaxed structure of TcNi2Ag.

a b c (Å): 4.2337 4.2337 4.2337
angles (deg): 60.00 60.00 60.00
With the nearest neighbours (Å) after each atom.
Positions (direct):
1 Ni 0.2500 0.2500 0.2500  4 Ag 2.59, 4 Tc 2.59
2 Ag 0.5000 0.5000 0.5000  8 Ni 2.59
3 Ni 0.7500 0.7500 0.7500  4 Tc 2.59, 4 Ag 2.59
4 Tc 0.0000 0.0000 0.0000  8 Ni 2.59

Computed properties:
The energy above the lowest structure with this stoichiometry comes out at 287 meV per atom. Its space group is Fm-3m (225). As for the density of states at the Fermi level: 3.24 states/eV/cell. As for the formation energy: 397 meV/atom. For the mass density, the calculation gives 10.00 Mg/m³.


Entry 2:
## HfNpSc2As4 (PBE)

Data for a relaxed structure of HfNpSc2As4.

a b c (Å): 3.9187 6.7967 6.7759
angles (deg): 109.23 90.00 90.00
With the nearest neighbours (Å) after each atom.
Positions (direct):
1 As 0.5000 0.7570 0.7479  3 Sc 2.72-2.79, 2 Hf 2.76, 1 Np 2.82
2 Sc 0.0000 0.5000 0.5000  6 As 2.78-2.79
3 Np 0.5000 0.5000 0.0000  6 As 2.82-2.83
4 As 0.5000 0.2430 0.2521  3 Sc 2.72-2.79, 2 Hf 2.76, 1 Np 2.82
5 Sc 0.5000 0.0000 0.5000  6 As 2.72
6 As 0.0000 0.7615 0.2586  3 Sc 2.72-2.78, 1 Hf 2.75, 2 Np 2.83
7 Hf 0.0000 0.0000 0.0000  6 As 2.75-2.76
8 As 0.0000 0.2385 0.7414  3 Sc 2.72-2.78, 1 Hf 2.75, 2 Np 2.83

Computed properties:
Its space group is P2/m (10). As for the density of states at the Fermi level: 10.18 states/eV/cell. As for the formation energy: -1109 meV/atom. For the mass density, the calculation gives 7.85 Mg/m³.


Entry 3:
## TlC (PBE)

Data for a relaxed structure of TlC.

a b c (Å): 3.5683 3.5683 3.5683
angles (deg): 60.00 60.00 60.00
With the nearest neighbours (Å) after each atom.
Positions (direct):
1 C 0.5000 0.5000 0.5000  6 Tl 2.52
2 Tl 0.0000 0.0000 0.0000  6 C 2.52

Computed properties:
The energy above the lowest structure with this stoichiometry comes out at 1339 meV per atom. Its space group is Fm-3m (225). As for the density of states at the Fermi level: 1.77 states/eV/cell. As for the formation energy: 2123 meV/atom. For the mass density, the calculation gives 11.18 Mg/m³.


Entry 4:
## Zn2TcPt9 (PBE)

Data for a relaxed structure of Zn2TcPt9.

a b c (Å): 3.9350 3.9350 11.7975
angles (deg): 90.00 90.00 90.00
With the nearest neighbours (Å) after each atom.
Positions (direct):
1 Pt 0.5000 0.0000 0.1644  2 Tc 2.76, 8 Pt 2.76-2.80, 2 Zn 2.84
2 Pt 0.5000 0.5000 0.6668  8 Pt 2.78-2.80, 4 Zn 2.78
3 Pt 0.5000 0.5000 0.0000  8 Pt 2.76, 4 Tc 2.78
4 Pt 0.0000 0.5000 0.1644  8 Pt 2.76-2.80, 2 Tc 2.76, 2 Zn 2.84
5 Zn 0.0000 0.0000 0.3375  12 Pt 2.75-2.84
6 Pt 0.5000 0.5000 0.3332  8 Pt 2.78-2.80, 4 Zn 2.78
7 Zn 0.0000 0.0000 0.6625  12 Pt 2.75-2.84
8 Tc 0.0000 0.0000 0.0000  12 Pt 2.76-2.78
9 Pt 0.5000 0.0000 0.8356  8 Pt 2.76-2.80, 2 Tc 2.76, 2 Zn 2.84
10 Pt 0.5000 0.0000 0.5000  4 Zn 2.75, 8 Pt 2.78
11 Pt 0.0000 0.5000 0.8356  8 Pt 2.76-2.80, 2 Tc 2.76, 2 Zn 2.84
12 Pt 0.0000 0.5000 0.5000  4 Zn 2.75, 8 Pt 2.78

Computed properties:
Its space group is P4/mmm (123). As for the density of states at the Fermi level: 11.60 states/eV/cell. As for the formation energy: -273 meV/atom. For the mass density, the calculation gives 18.04 Mg/m³.


Entry 5:
## Na2TmSbO4 (PBE)

Data for a relaxed structure of Na2TmSbO4.

a b c (Å): 3.3999 5.9399 5.9278
angles (deg): 109.25 90.00 90.00
With the nearest neighbours (Å) after each atom.
Positions (direct):
1 Sb 0.0000 0.0000 0.0000  6 O 2.34-2.36
2 O 0.5000 0.2524 0.2199  1 Tm 2.26, 2 Sb 2.36, 2 Na 2.49
3 O 0.0000 0.7283 0.2103  2 Tm 2.27, 1 Sb 2.34, 1 Na 2.51
4 Tm 0.5000 0.5000 0.0000  6 O 2.26-2.27
5 Na 0.5000 0.0000 0.5000  6 O 2.57-2.58
6 O 0.0000 0.2717 0.7897  2 Tm 2.27, 1 Sb 2.34, 1 Na 2.51
7 Na 0.0000 0.5000 0.5000  6 O 2.49-2.51
8 O 0.5000 0.7476 0.7801  1 Tm 2.26, 2 Sb 2.36, 2 Na 2.49

Computed properties:
As for the formation energy (no corrections): -2.069 eV/atom. Its space group is P2/m (10). As for the density of states at the Fermi level: 0.00 states/eV/cell. For the mass density, the calculation gives 5.89 Mg/m³.